No. 1
# CdSb3C, optimized geometry, DFT PBE-GGA
data_CdSb3C
_chemical_formula_sum 'Cd1 Sb3 C1'
_space_group_name_H-M_alt 'P m -3 m'
_space_group_IT_number 221
_space_group_name_Hall '-P 4 2 3'
_cell_length_a 5.5187
_cell_length_b 5.5187
_cell_length_c 5.5187
_cell_angle_alpha 90.00
_cell_angle_beta 90.00
_cell_angle_gamma 90.00
loop_
_atom_site_label
_atom_site_type_symbol
_atom_site_fract_x
_atom_site_fract_y
_atom_site_fract_z
Cd1 Cd 0.0000 0.0000 0.0000
Sb1 Sb 0.0000 0.0000 0.5000
C1 C 0.5000 0.5000 0.5000
# Total magnetization in μB/f.u.: 1.25
# ΔE to the lowest computed polymorph in eV/atom: 1.189
# V in Å³/cell: 168.08
# DFT total energy in Ry per atom: -0.1768
# Raw formation energy in eV per atom: 2.096



No. 2
# CdGa2WAu, optimized geometry, DFT PBE-GGA
data_CdGa2WAu
_chemical_formula_sum 'Cd1 Ga2 W1 Au1'
_space_group_name_H-M_alt 'P 4/m m m'
_space_group_IT_number 123
_space_group_name_Hall '-P 4 2'
_cell_length_a 4.9016
_cell_length_b 4.9016
_cell_length_c 5.3069
_cell_angle_alpha 90.00
_cell_angle_beta 90.00
_cell_angle_gamma 90.00
loop_
_atom_site_label
_atom_site_type_symbol
_atom_site_fract_x
_atom_site_fract_y
_atom_site_fract_z
Cd1 Cd 0.0000 0.0000 0.0000
Ga1 Ga 0.0000 0.5000 0.5000
W1 W 0.0000 0.0000 0.5000
Au1 Au 0.5000 0.5000 0.0000
# Total magnetization in μB/f.u.: 0.01
# V in Å³/cell: 127.50
# DFT total energy in Ry per atom: -0.2695